1.
This record from the Alexandria database describes a relaxed KNbRuO6 crystal. The functional is GGA-PBE.

Calculated values
Crystal system: trigonal
Uncorrected formation energy (meV/atom): -1623.0

Cell: 5.3296 5.3296 5.9741 Å, 90.00 90.00 120.00°
Fractional positions:
K (0.0000, 0.0000, 0.0000)
Nb (0.3333, 0.6667, 0.5337)
Ru (0.6667, 0.3333, 0.4679)
O (0.3896, 0.0151, 0.6761)
O (0.4043, 0.4000, 0.3052)
O (0.6000, 0.0043, 0.3052)
O (0.6255, 0.6104, 0.6761)
O (0.9849, 0.3745, 0.6761)
O (0.9957, 0.5957, 0.3052)


2.
This record from the Alexandria database describes a relaxed K4Nb2S10O crystal. The functional is GGA-PBE.

Calculated values
Crystal system: orthorhombic
Uncorrected formation energy (meV/atom): -1043.1

Cell: 12.9296 7.6804 18.2625 Å, 90.00 90.00 90.00°
Fractional positions:
K (0.0590, 0.2133, 0.0000)
K (0.1052, 0.1450, 0.3010)
K (0.2381, 0.6702, 0.3668)
K (0.2436, 0.8086, 0.1360)
K (0.2564, 0.8086, 0.6360)
K (0.2619, 0.6702, 0.8668)
K (0.3948, 0.1450, 0.8010)
K (0.4410, 0.2133, 0.5000)
K (0.5590, 0.7867, 0.0000)
K (0.6052, 0.8550, 0.3010)
K (0.7381, 0.3298, 0.3668)
K (0.7436, 0.1914, 0.1360)
K (0.7564, 0.1914, 0.6360)
K (0.7619, 0.3298, 0.8668)
K (0.8948, 0.8550, 0.8010)
K (0.9410, 0.7867, 0.5000)
Nb (0.0294, 0.2545, 0.7291)
Nb (0.1013, 0.2108, 0.5419)
Nb (0.3987, 0.2108, 0.0419)
Nb (0.4706, 0.2545, 0.2291)
Nb (0.5294, 0.7455, 0.7291)
Nb (0.6013, 0.7892, 0.5419)
Nb (0.8987, 0.7892, 0.0419)
Nb (0.9706, 0.7455, 0.2291)
S (0.0006, 0.9714, 0.1312)
S (0.0138, 0.5409, 0.1276)
S (0.0494, 0.4103, 0.4388)
S (0.0568, 0.5738, 0.7182)
S (0.0679, 0.7459, 0.9812)
S (0.1397, 0.0232, 0.7863)
S (0.1496, 0.2646, 0.8377)
S (0.1733, 0.9888, 0.4770)
S (0.2230, 0.2398, 0.6478)
S (0.2426, 0.4181, 0.5632)
S (0.2574, 0.4181, 0.0632)
S (0.2770, 0.2398, 0.1478)
S (0.3267, 0.9888, 0.9770)
S (0.3504, 0.2646, 0.3377)
S (0.3603, 0.0232, 0.2863)
S (0.4321, 0.7459, 0.4812)
S (0.4432, 0.5738, 0.2182)
S (0.4506, 0.4103, 0.9388)
S (0.4862, 0.5409, 0.6276)
S (0.4994, 0.9714, 0.6312)
S (0.5006, 0.0286, 0.1312)
S (0.5138, 0.4591, 0.1276)
S (0.5494, 0.5897, 0.4388)
S (0.5568, 0.4262, 0.7182)
S (0.5679, 0.2541, 0.9812)
S (0.6397, 0.9768, 0.7863)
S (0.6496, 0.7354, 0.8377)
S (0.6733, 0.0112, 0.4770)
S (0.7230, 0.7602, 0.6478)
S (0.7426, 0.5819, 0.5632)
S (0.7574, 0.5819, 0.0632)
S (0.7770, 0.7602, 0.1478)
S (0.8267, 0.0112, 0.9770)
S (0.8504, 0.7354, 0.3377)
S (0.8603, 0.9768, 0.2863)
S (0.9321, 0.2541, 0.4812)
S (0.9432, 0.4262, 0.2182)
S (0.9506, 0.5897, 0.9388)
S (0.9862, 0.4591, 0.6276)
S (0.9994, 0.0286, 0.6312)
O (0.0934, 0.7754, 0.2738)
O (0.4066, 0.7754, 0.7738)
O (0.5934, 0.2246, 0.2738)
O (0.9066, 0.2246, 0.7738)


3.
This record from the Alexandria database describes a relaxed KNbS2O crystal. The functional is GGA-PBE.

Calculated values
Crystal system: tetragonal
Uncorrected formation energy (meV/atom): -1409.6

Cell: 4.9796 4.9796 3.9787 Å, 90.00 90.00 90.00°
Fractional positions:
K (0.0000, 0.0000, 0.0000)
Nb (0.5000, 0.5000, 0.5000)
S (0.0000, 0.5000, 0.5000)
S (0.5000, 0.0000, 0.5000)
O (0.5000, 0.5000, 0.0000)


These records have volume values of 16.33; 26.67; 19.73 A^3/atom, in the order they appear.
These records have energy values of -7.200; -5.206; -6.286 eV per atom, in the order they appear.
These records have total magnetization values of 2.01; 0.00; 0.00 μB per formula unit, in the order they appear.